# 1
Material: LaCoW2
Method: DFT, PBEsol
State: relaxed

Energy   -37.80 eV per formula unit
Fermi-level density of states   4.6 states/eV/cell
Calculated formation energy   280.1 kJ/mol of formula units

a b c (Å): 3.0720 4.4700 5.1119
angles (deg): 90.00 90.00 90.00
With the nearest neighbours (Å) after each atom.
Fractional coordinates of all 4 atoms:
Co  0.5000  0.0000  0.5000  4 La 2.71, 4 W 2.98
W  0.0000  0.0000  0.0000  4 W 2.71, 4 Co 2.98
W  0.5000  0.5000  0.0000  4 W 2.71, 4 La 2.98
La  0.0000  0.5000  0.5000  4 Co 2.71, 4 W 2.98

=====

# 2
Material: LaCo3W
Method: DFT, PBEsol
State: relaxed

Energy   -38.81 eV per formula unit
Fermi-level density of states   6.4 states/eV/cell
Calculated formation energy   342.9 kJ/mol of formula units

a b c (Å): 4.4855 4.4855 4.4855
angles (deg): 90.00 90.00 90.00
With the nearest neighbours (Å) after each atom.
Fractional coordinates of all 5 atoms:
Co  0.0000  0.5000  0.0000  2 W 2.24
Co  0.0000  0.0000  0.5000  2 W 2.24
Co  0.5000  0.0000  0.0000  2 W 2.24
W  0.0000  0.0000  0.0000  6 Co 2.24
La  0.5000  0.5000  0.5000  12 Co 3.17

=====

# 3
Material: LaCo2W
Method: DFT, PBEsol
State: relaxed

Energy   -32.84 eV per formula unit
Fermi-level density of states   3.5 states/eV/cell
Calculated formation energy   172.2 kJ/mol of formula units

a b c (Å): 2.8110 4.6935 4.6935
angles (deg): 90.00 90.00 90.00
With the nearest neighbours (Å) after each atom.
Fractional coordinates of all 4 atoms:
Co  0.0000  0.0000  0.5000  4 La 2.74, 4 W 2.74, 2 Co 2.81
Co  0.0000  0.5000  0.0000  4 W 2.74, 4 La 2.74, 2 Co 2.81
W  0.5000  0.0000  0.0000  8 Co 2.74, 2 W 2.81
La  0.5000  0.5000  0.5000  8 Co 2.74, 2 La 2.81

=====

- Which of these has the lowest Fermi-level density of states?
  LaCo2W